No. 1
Entry from the Alexandria database: a relaxed structure of MgScPa (GGA-PBE).

Structure (POSCAR):
```
MgScPa
1.0
-1.549 1.549 7.490
1.549 -1.549 7.490
1.549 1.549 -7.490
Mg Sc Pa
1 1 1
direct
0.000 0.000 0.000
0.664 0.664 0.000
0.326 0.326 0.000
```

Values from the calculation:
As for the energy relative to the elements: 98 meV/atom. Its space-group type is No. 107. The density of states at the Fermi level comes out at 4.90 states/eV per cell. The calculation puts the total DFT energy (no corrections) at -5.709 eV/atom. For the theoretical density, the calculation gives 6.94 Mg/m³. The calculation puts the energy above the most stable polymorph in this dataset at 112.0 meV/atom.

=====

No. 2
Entry from the Alexandria database: a relaxed structure of Mg2ScPa (GGA-PBE).

Structure (POSCAR):
```
Mg2ScPa
1.0
3.115 0.000 0.000
0.000 3.115 0.000
0.000 0.000 9.685
Mg Sc Pa
2 1 1
direct
0.000 0.000 0.240
0.000 0.000 0.760
0.500 0.500 0.000
0.500 0.500 0.500
```

Values from the calculation:
As for the energy relative to the elements: 139 meV/atom. Its space-group type is No. 123. The density of states at the Fermi level comes out at 6.48 states/eV per cell. The calculation puts the total DFT energy (no corrections) at -4.615 eV/atom. For the theoretical density, the calculation gives 5.73 Mg/m³. The calculation puts the energy above the most stable polymorph in this dataset at 0.0 meV/atom.

=====

No. 3
Entry from the Alexandria database: a relaxed structure of MgScPa (GGA-PBE).

Structure (POSCAR):
```
MgScPa
1.0
3.173 0.000 0.000
-1.586 2.748 0.000
0.000 0.000 8.380
Mg Sc Pa
1 1 1
direct
0.000 0.000 0.000
0.333 0.667 0.673
0.667 0.333 0.345
```

Values from the calculation:
As for the energy relative to the elements: 91 meV/atom. Its space-group type is No. 156. The density of states at the Fermi level comes out at 5.94 states/eV per cell. The calculation puts the total DFT energy (no corrections) at -5.716 eV/atom. For the theoretical density, the calculation gives 6.82 Mg/m³. The calculation puts the energy above the most stable polymorph in this dataset at 105.5 meV/atom.

=====

No. 4
Entry from the Alexandria database: a relaxed structure of MgScPa (GGA-PBE).

Structure (POSCAR):
```
MgScPa
1.0
6.102 -1.541 0.000
6.102 1.541 0.000
-5.045 0.000 7.790
Mg Sc Pa
2 2 2
direct
0.128 0.128 0.011
0.872 0.872 0.989
0.122 0.122 0.677
0.878 0.878 0.323
0.369 0.369 0.638
0.631 0.631 0.362
```

Values from the calculation:
As for the energy relative to the elements: 143 meV/atom. Its space-group type is No. 12. The density of states at the Fermi level comes out at 10.19 states/eV per cell. The calculation puts the total DFT energy (no corrections) at -5.664 eV/atom. For the theoretical density, the calculation gives 6.81 Mg/m³. The calculation puts the energy above the most stable polymorph in this dataset at 157.0 meV/atom.

=====

No. 5
Entry from the Alexandria database: a relaxed structure of MgSc4Pa (GGA-PBE).

Structure (POSCAR):
```
MgSc4Pa
1.0
3.061 0.000 0.000
0.000 5.390 0.000
0.000 0.000 8.845
Mg Sc Pa
1 4 1
direct
0.000 0.000 0.000
0.000 0.500 0.192
0.000 0.500 0.808
0.500 0.000 0.322
0.500 0.000 0.678
0.500 0.500 0.500
```

Values from the calculation:
As for the energy relative to the elements: 170 meV/atom. Its space-group type is No. 47. The density of states at the Fermi level comes out at 8.30 states/eV per cell. The calculation puts the total DFT energy (no corrections) at -5.899 eV/atom. For the theoretical density, the calculation gives 4.95 Mg/m³.

=====

No. 6
Entry from the Alexandria database: a relaxed structure of MgScPa (GGA-PBE).

Structure (POSCAR):
```
MgScPa
1.0
3.230 0.000 0.000
0.000 3.230 0.000
0.000 0.000 13.727
Mg Sc Pa
2 2 2
direct
0.250 0.250 0.078
0.750 0.750 0.922
0.250 0.250 0.755
0.750 0.750 0.245
0.250 0.250 0.414
0.750 0.750 0.586
```

Values from the calculation:
As for the energy relative to the elements: -14 meV/atom. Its space-group type is No. 129. The density of states at the Fermi level comes out at 5.55 states/eV per cell. The calculation puts the total DFT energy (no corrections) at -5.821 eV/atom. For the theoretical density, the calculation gives 6.96 Mg/m³. The calculation puts the energy above the most stable polymorph in this dataset at 0.0 meV/atom.

=====

No. 7
Entry from the Alexandria database: a relaxed structure of SmMgScPa (GGA-PBE).

Structure (POSCAR):
```
SmMgScPa
1.0
0.000 3.738 3.738
3.738 0.000 3.738
3.738 3.738 0.000
Sm Mg Sc Pa
1 1 1 1
direct
0.000 0.000 0.000
0.250 0.250 0.250
0.500 0.500 0.500
0.750 0.750 0.750
```

Values from the calculation:
As for the energy relative to the elements: 341 meV/atom. Its space-group type is No. 216. The density of states at the Fermi level comes out at 9.62 states/eV per cell. The calculation puts the total DFT energy (no corrections) at -5.195 eV/atom. For the theoretical density, the calculation gives 7.16 Mg/m³.

=====

No. 8
Entry from the Alexandria database: a relaxed structure of ThMgScPa (GGA-PBE).

Structure (POSCAR):
```
ThMgScPa
1.0
0.000 3.744 3.744
3.744 0.000 3.744
3.744 3.744 0.000
Th Mg Sc Pa
1 1 1 1
direct
0.000 0.000 0.000
0.250 0.250 0.250
0.500 0.500 0.500
0.750 0.750 0.750
```

Values from the calculation:
As for the energy relative to the elements: 284 meV/atom. Its space-group type is No. 216. The density of states at the Fermi level comes out at 5.42 states/eV per cell. The calculation puts the total DFT energy (no corrections) at -5.927 eV/atom. For the theoretical density, the calculation gives 8.42 Mg/m³.

=====

No. 9
Entry from the Alexandria database: a relaxed structure of MgPa5Se6 (GGA-PBE).

Structure (POSCAR):
```
MgPa5Se6
1.0
3.710 -5.873 0.000
3.710 5.873 0.000
-2.067 0.000 6.407
Mg Pa Se
1 5 6
direct
0.000 0.000 0.000
0.178 0.822 0.500
0.340 0.660 0.000
0.500 0.500 0.500
0.660 0.340 0.000
0.822 0.178 0.500
0.075 0.394 0.234
0.230 0.230 0.747
0.394 0.075 0.234
0.606 0.925 0.766
0.770 0.770 0.253
0.925 0.606 0.766
```

Values from the calculation:
Its space-group type is No. 12. The density of states at the Fermi level comes out at 18.91 states/eV per cell. The calculation puts the total DFT energy (no corrections) at -6.963 eV/atom. The calculation puts the formation energy from raw total energies at -1131 meV per atom. For the theoretical density, the calculation gives 9.83 Mg/m³.

=====

No. 10
Entry from the Alexandria database: a relaxed structure of MgPaSe3 (GGA-PBE).

Structure (POSCAR):
```
MgPaSe3
1.0
4.177 0.000 0.000
-2.087 5.078 0.000
-0.041 -1.479 13.056
Mg Pa Se
2 2 6
direct
0.000 0.000 0.000
0.464 0.935 0.787
0.645 0.278 0.319
0.836 0.657 0.468
0.127 0.240 0.480
0.129 0.262 0.833
0.336 0.673 0.954
0.354 0.695 0.307
0.601 0.199 0.109
0.865 0.736 0.678
```

Values from the calculation:
Its space-group type is No. 1. The density of states at the Fermi level comes out at 5.01 states/eV per cell. The calculation puts the total DFT energy (no corrections) at -5.239 eV/atom. The calculation puts the formation energy from raw total energies at -930 meV per atom. For the theoretical density, the calculation gives 5.90 Mg/m³. The calculation puts the energy above the most stable polymorph in this dataset at 268.7 meV/atom.